Here is a PBEsol-optimized structure of Ca2AlBr from Alexandria. Energies are from SCAN.

Cell lengths 6.833, 6.833, 6.833 Å; angles 110.54, 108.94, 108.94 degrees
Fractional positions:
1 Br 0.000 0.000 0.000
2 Br 0.500 0.750 0.250
3 Ca 0.984 0.109 0.625
4 Ca 0.484 0.375 0.359
5 Ca 0.016 0.641 0.125
6 Ca 0.516 0.875 0.891
7 Al 0.000 0.500 0.500
8 Al 0.500 0.250 0.750

Results
Energy above the most stable polymorph in this dataset, meV per atom: 0.0
Formation energy without anion corrections, meV/atom: -525

Here is a PBEsol-optimized structure of CaAlBr2 from Alexandria. Energies are from SCAN.

Cell lengths 4.298, 4.881, 6.715 Å; angles 111.31, 108.66, 90.00 degrees
Fractional positions:
1 Al 0.500 0.000 0.000
2 Ca 0.000 0.500 0.000
3 Br 0.339 0.339 0.677
4 Br 0.661 0.661 0.323

Results
Energy above the most stable polymorph in this dataset, meV per atom: 0.0
Formation energy without anion corrections, meV/atom: -960

Here is a PBEsol-optimized structure of CaAlBr2 from Alexandria. Energies are from SCAN.

Cell lengths 3.837, 4.432, 6.082 Å; angles 90.00, 90.00, 90.00 degrees
Fractional positions:
1 Al 0.000 0.500 0.500
2 Br 0.500 0.000 0.500
3 Br 0.000 0.000 0.000
4 Ca 0.500 0.500 0.000

Results
Energy above the most stable polymorph in this dataset, meV per atom: 108.4
Formation energy without anion corrections, meV/atom: -852

Here is a PBEsol-optimized structure of CaAlBr2 from Alexandria. Energies are from SCAN.

Cell lengths 4.235, 4.235, 9.463 Å; angles 77.07, 77.07, 60.00 degrees
Fractional positions:
1 Br 0.900 0.900 0.300
2 Br 0.100 0.100 0.700
3 Al 0.500 0.500 0.500
4 Ca 0.000 0.000 0.000

Results
Energy above the most stable polymorph in this dataset, meV per atom: 356.7
Formation energy without anion corrections, meV/atom: -603

Here is a PBEsol-optimized structure of Ca2AlBr from Alexandria. Energies are from SCAN.

Cell lengths 4.326, 4.326, 6.774 Å; angles 108.62, 108.62, 90.00 degrees
Fractional positions:
1 Al 0.500 0.500 0.000
2 Br 0.250 0.750 0.500
3 Ca 0.000 0.000 0.000
4 Ca 0.750 0.250 0.500

Results
Energy above the most stable polymorph in this dataset, meV per atom: 18.3
Formation energy without anion corrections, meV/atom: -507

Here is a PBEsol-optimized structure of CaAlBr2 from Alexandria. Energies are from SCAN.

Cell lengths 5.084, 5.313, 5.084 Å; angles 61.42, 90.00, 118.58 degrees
Fractional positions:
1 Ca 0.500 0.000 0.500
2 Br 0.750 0.500 0.750
3 Br 0.250 0.500 0.250
4 Al 0.000 0.000 0.000

Results
Energy above the most stable polymorph in this dataset, meV per atom: 192.8
Formation energy without anion corrections, meV/atom: -767

Here is a PBEsol-optimized structure of Ca2AlH10BrO8 from Alexandria. Energies are from SCAN.

Cell lengths 5.664, 5.739, 8.581 Å; angles 87.41, 70.95, 60.31 degrees
Fractional positions:
1 Ca 0.623 0.683 0.073
2 Ca 0.377 0.317 0.927
3 H 0.567 0.708 0.435
4 H 0.004 0.256 0.234
5 H 0.509 0.182 0.237
6 H 0.712 0.293 0.567
7 H 0.433 0.292 0.565
8 H 0.938 0.288 0.764
9 H 0.996 0.744 0.766
10 H 0.288 0.707 0.433
11 H 0.062 0.712 0.236
12 H 0.491 0.818 0.763
13 O 0.175 0.720 0.124
14 O 0.425 0.768 0.377
15 O 0.575 0.232 0.623
16 O 0.388 0.915 0.876
17 O 0.019 0.720 0.875
18 O 0.612 0.085 0.124
19 O 0.981 0.280 0.125
20 O 0.825 0.280 0.876
21 Al 0.000 0.000 0.000
22 Br 0.000 0.500 0.500

Here is a PBEsol-optimized structure of Ca2HfAlBr from Alexandria. Energies are from SCAN.

Cell lengths 5.047, 6.052, 6.052 Å; angles 90.00, 90.00, 90.00 degrees
Fractional positions:
1 Hf 0.000 0.000 0.000
2 Ca 0.000 0.500 0.000
3 Ca 0.000 0.000 0.500
4 Al 0.500 0.000 0.000
5 Br 0.500 0.500 0.500

Results
Formation energy without anion corrections, meV/atom: 553

Here is a PBEsol-optimized structure of CaAl2BrN from Alexandria. Energies are from SCAN.

Cell lengths 4.276, 5.137, 5.137 Å; angles 90.00, 90.00, 90.00 degrees
Fractional positions:
1 Ca 0.500 0.500 0.500
2 Al 0.000 0.000 0.500
3 Al 0.000 0.500 0.000
4 N 0.500 0.000 0.000
5 Br 0.000 0.000 0.000

Results
Formation energy without anion corrections, meV/atom: 1047

Here is a PBEsol-optimized structure of AlCdBr from Alexandria. Energies are from SCAN.

Cell lengths 5.170, 5.170, 5.170 Å; angles 60.00, 60.00, 60.00 degrees
Fractional positions:
1 Cd 0.000 0.000 0.000
2 Br 0.750 0.750 0.750
3 Al 0.500 0.500 0.500

Results
Energy above the most stable polymorph in this dataset, meV per atom: 427.2
Formation energy without anion corrections, meV/atom: 430

Here is a PBEsol-optimized structure of AlCdBr from Alexandria. Energies are from SCAN.

Cell lengths 3.452, 3.452, 6.142 Å; angles 106.32, 106.32, 90.00 degrees
Fractional positions:
1 Al 0.008 0.008 0.015
2 Cd 0.646 0.646 0.293
3 Br 0.346 0.346 0.692

Results
Energy above the most stable polymorph in this dataset, meV per atom: 0.0
Formation energy without anion corrections, meV/atom: 3

Here is a PBEsol-optimized structure of Al3CdBr from Alexandria. Energies are from SCAN.

Cell lengths 5.226, 5.226, 5.226 Å; angles 90.00, 90.00, 90.00 degrees
Fractional positions:
1 Al 0.000 0.500 0.000
2 Al 0.500 0.000 0.000
3 Al 0.000 0.000 0.500
4 Br 0.000 0.000 0.000
5 Cd 0.500 0.500 0.500

Results
Energy above the most stable polymorph in this dataset, meV per atom: 450.3
Formation energy without anion corrections, meV/atom: 950

Here is a PBEsol-optimized structure of AlCd2Br from Alexandria. Energies are from SCAN.

Cell lengths 5.150, 5.150, 5.150 Å; angles 60.00, 60.00, 60.00 degrees
Fractional positions:
1 Cd 0.000 0.000 0.000
2 Cd 0.750 0.750 0.750
3 Br 0.250 0.250 0.250
4 Al 0.500 0.500 0.500

Results
Energy above the most stable polymorph in this dataset, meV per atom: 167.8
Formation energy without anion corrections, meV/atom: 210

Here is a PBEsol-optimized structure of Al3CdBr from Alexandria. Energies are from SCAN.

Cell lengths 5.107, 5.107, 5.107 Å; angles 90.00, 90.00, 90.00 degrees
Fractional positions:
1 Al 0.000 0.500 0.000
2 Al 0.500 0.000 0.000
3 Al 0.000 0.000 0.500
4 Br 0.500 0.500 0.500
5 Cd 0.000 0.000 0.000

Results
Energy above the most stable polymorph in this dataset, meV per atom: 0.0
Formation energy without anion corrections, meV/atom: 499

| no. | raw total energy (eV per atom) |
| --- | --- |
| 1 | -12.160 |
| 2 | -15.044 |
| 3 | -14.935 |
| 4 | -14.687 |
| 5 | -12.142 |
| 6 | -14.851 |
| 7 | -7.719 |
| 8 | -21.289 |
| 9 | -9.736 |
| 10 | -18.779 |
| 11 | -19.206 |
| 12 | -13.676 |
| 13 | -21.800 |
| 14 | -14.127 |